{"formula": "Na5FeO4", "functional": "PBE with a Hubbard U", "state": "relaxed", "lattice": [[-9.660, -1.404, 3.417], [2.347, -10.025, 2.513], [3.007, 3.160, 9.799]], "species": ["Na", "Na", "Na", "Na", "Na", "Na", "Na", "Na", "Na", "Na", "Na", "Na", "Na", "Na", "Na", "Na", "Na", "Na", "Na", "Na", "Na", "Na", "Na", "Na", "Na", "Na", "Na", "Na", "Na", "Na", "Na", "Na", "Na", "Na", "Na", "Na", "Na", "Na", "Na", "Na", "Fe", "Fe", "Fe", "Fe", "Fe", "Fe", "Fe", "Fe", "O", "O", "O", "O", "O", "O", "O", "O", "O", "O", "O", "O", "O", "O", "O", "O", "O", "O", "O", "O", "O", "O", "O", "O", "O", "O", "O", "O", "O", "O", "O", "O"], "fractional_positions": [[0.856, 0.383, 0.100], [0.356, 0.117, 0.100], [0.168, 0.894, 0.116], [0.668, 0.606, 0.116], [0.638, 0.152, 0.116], [0.138, 0.348, 0.116], [0.915, 0.121, 0.143], [0.415, 0.379, 0.143], [0.602, 0.879, 0.163], [0.102, 0.621, 0.163], [0.102, 0.121, 0.337], [0.602, 0.379, 0.337], [0.415, 0.879, 0.357], [0.915, 0.621, 0.357], [0.638, 0.652, 0.384], [0.138, 0.848, 0.384], [0.168, 0.394, 0.384], [0.668, 0.106, 0.384], [0.856, 0.883, 0.400], [0.356, 0.617, 0.400], [0.644, 0.383, 0.600], [0.144, 0.117, 0.600], [0.332, 0.894, 0.616], [0.832, 0.606, 0.616], [0.362, 0.348, 0.616], [0.862, 0.152, 0.616], [0.085, 0.379, 0.643], [0.585, 0.121, 0.643], [0.898, 0.879, 0.663], [0.398, 0.621, 0.663], [0.898, 0.379, 0.837], [0.398, 0.121, 0.837], [0.585, 0.621, 0.857], [0.085, 0.879, 0.857], [0.362, 0.848, 0.884], [0.862, 0.652, 0.884], [0.332, 0.394, 0.884], [0.832, 0.106, 0.884], [0.644, 0.883, 0.900], [0.144, 0.617, 0.900], [0.886, 0.853, 0.130], [0.386, 0.647, 0.130], [0.886, 0.353, 0.370], [0.386, 0.147, 0.370], [0.614, 0.853, 0.630], [0.114, 0.647, 0.630], [0.614, 0.353, 0.870], [0.114, 0.147, 0.870], [0.499, 0.742, 0.021], [0.999, 0.758, 0.021], [0.772, 0.975, 0.050], [0.272, 0.525, 0.050], [0.997, 0.948, 0.243], [0.497, 0.552, 0.243], [0.778, 0.753, 0.239], [0.278, 0.747, 0.239], [0.778, 0.253, 0.261], [0.278, 0.247, 0.261], [0.997, 0.448, 0.257], [0.497, 0.052, 0.257], [0.772, 0.475, 0.450], [0.272, 0.025, 0.450], [0.499, 0.242, 0.479], [0.999, 0.258, 0.479], [0.001, 0.742, 0.521], [0.501, 0.758, 0.521], [0.728, 0.975, 0.550], [0.228, 0.525, 0.550], [0.003, 0.552, 0.743], [0.503, 0.948, 0.743], [0.722, 0.753, 0.739], [0.222, 0.747, 0.739], [0.722, 0.253, 0.761], [0.222, 0.247, 0.761], [0.003, 0.052, 0.757], [0.503, 0.448, 0.757], [0.228, 0.025, 0.950], [0.728, 0.475, 0.950], [0.001, 0.242, 0.979], [0.501, 0.258, 0.979]], "dft_energy_ev_per_atom": -4.626, "space_group": "Pbca, No. 61", "e_above_lowest_polymorph_mev_per_atom": 0.0}